Entry 1:
VASP calculation (PBEsol) on LiMg2As after structural relaxation.

Cell lengths 3.181, 4.782, 5.116 Å; angles 90.00, 91.24, 90.00 degrees
Space group P2/m (No. 10)
Asymmetric unit:
Li (0.000, 0.000, 0.000) (multiplicity 1)
Mg (0.271, 0.500, 0.748) (multiplicity 2)
As (0.500, 0.000, 0.500) (multiplicity 1)

Output
calculated volume	77.8	Å³ per cell
energy of formation from the pure elements	-182	meV per atom

---

Entry 2:
VASP calculation (PBEsol) on CaLa2Cr after structural relaxation.

Cell lengths 3.788, 5.550, 11.415 Å; angles 90.00, 90.00, 90.00 degrees
Space group Imm2 (No. 44)
Asymmetric unit:
Ca (0.000, 0.000, 0.000) (multiplicity 2)
La (0.000, 0.000, 0.418) (multiplicity 2)
La (0.000, 0.500, 0.209) (multiplicity 2)
Cr (0.000, 0.500, 0.716) (multiplicity 2)

Output
calculated volume	240.0	Å³ per cell
energy of formation from the pure elements	421	meV per atom
E above lowest polymorph	65.7	meV/atom

---

Entry 3:
VASP calculation (PBEsol) on Ca2HfO4 after structural relaxation.

Cell lengths 5.608, 5.730, 11.799 Å; angles 90.00, 90.00, 90.00 degrees
Space group Pbca (No. 61)
Asymmetric unit:
Ca (0.011, 0.054, 0.155) (multiplicity 8)
Hf (0.000, 0.000, 0.500) (multiplicity 4)
O (0.095, 0.041, 0.668) (multiplicity 8)
O (0.197, 0.199, 0.967) (multiplicity 8)

Output
calculated volume	379.1	Å³ per cell
E	-235.25	eV for the cell shown

---

Entry 4:
VASP calculation (PBEsol) on CaCdP after structural relaxation.

Cell lengths 3.572, 3.572, 10.217 Å; angles 90.00, 90.00, 90.00 degrees
Space group I4mm (No. 107)
Asymmetric unit:
Ca (0.000, 0.000, 0.000) (multiplicity 2)
Cd (0.000, 0.000, 0.701) (multiplicity 2)
P (0.000, 0.000, 0.327) (multiplicity 2)

Output
calculated volume	130.4	Å³ per cell
energy of formation from the pure elements	-320	meV per atom
E above lowest polymorph	0.0	meV/atom